(1)
# TaTcCl, single point on PBEsol structure, DFT SCAN
data_TaTcCl
_chemical_formula_sum 'Ta4 Tc4 Cl4'
_space_group_name_H-M_alt 'F -4 3 m'
_space_group_IT_number 216
_space_group_name_Hall 'F -4 2 3'
_cell_length_a 5.732
_cell_length_b 5.732
_cell_length_c 5.732
_cell_angle_alpha 90.00
_cell_angle_beta 90.00
_cell_angle_gamma 90.00
loop_
_atom_site_label
_atom_site_type_symbol
_atom_site_fract_x
_atom_site_fract_y
_atom_site_fract_z
_atom_site_occupancy
Ta1 Ta 0.000 0.000 0.000 1
Tc1 Tc 0.000 0.000 0.500 1
Cl1 Cl 0.250 0.250 0.750 1
# E (eV for the cell shown): -422.9
# Formation energy from raw total energies (eV/atom): 1.30
# Energy above the most stable polymorph in this dataset (kJ per mole of atoms): 122.5
# Volume (Å³/atom): 15.7

(2)
# Be2AgBr, single point on PBEsol structure, DFT SCAN
data_Be2AgBr
_chemical_formula_sum 'Be4 Ag2 Br2'
_space_group_name_H-M_alt 'I -4 m 2'
_space_group_IT_number 119
_space_group_name_Hall 'I -4 -2'
_cell_length_a 3.339
_cell_length_b 3.339
_cell_length_c 11.793
_cell_angle_alpha 90.00
_cell_angle_beta 90.00
_cell_angle_gamma 90.00
loop_
_atom_site_label
_atom_site_type_symbol
_atom_site_fract_x
_atom_site_fract_y
_atom_site_fract_z
_atom_site_occupancy
Be1 Be 0.000 0.000 0.000 1
Be2 Be 0.000 0.500 0.250 1
Ag1 Ag 0.000 0.500 0.750 1
Br1 Br 0.000 0.000 0.500 1
# E (eV for the cell shown): -114.2
# Formation energy from raw total energies (eV/atom): 0.61
# Energy above the most stable polymorph in this dataset (kJ per mole of atoms): 37.4
# Volume (Å³/atom): 16.4

(3)
# Al2TeAs, single point on PBEsol structure, DFT SCAN
data_Al2TeAs
_chemical_formula_sum 'Al4 Te2 As2'
_space_group_name_H-M_alt 'A m m 2'
_space_group_IT_number 38
_cell_length_a 5.293
_cell_length_b 5.386
_cell_length_c 6.267
_cell_angle_alpha 90.00
_cell_angle_beta 90.00
_cell_angle_gamma 90.00
loop_
_space_group_symop_operation_xyz
'x,y,z'
'-x,-y,z'
'-x,y,z'
'x,-y,z'
'x,y+1/2,z+1/2'
'-x,-y+1/2,z+1/2'
'-x,y+1/2,z+1/2'
'x,-y+1/2,z+1/2'
loop_
_atom_site_label
_atom_site_type_symbol
_atom_site_fract_x
_atom_site_fract_y
_atom_site_fract_z
_atom_site_occupancy
Al1 Al 0.000 0.000 0.000 1
Al2 Al 0.500 0.000 0.430 1
Te1 Te 0.000 0.000 0.562 1
As1 As 0.500 0.000 0.032 1
# E (eV for the cell shown): -147.5
# Formation energy from raw total energies (eV/atom): -0.20
# Energy above the most stable polymorph in this dataset (kJ per mole of atoms): 0.0
# Volume (Å³/atom): 22.3

(4)
# LaAl2Cl, single point on PBEsol structure, DFT SCAN
data_LaAl2Cl
_chemical_formula_sum 'La4 Al8 Cl4'
_space_group_name_H-M_alt 'F m -3 m'
_space_group_IT_number 225
_space_group_name_Hall '-F 4 2 3'
_cell_length_a 7.284
_cell_length_b 7.284
_cell_length_c 7.284
_cell_angle_alpha 90.00
_cell_angle_beta 90.00
_cell_angle_gamma 90.00
loop_
_atom_site_label
_atom_site_type_symbol
_atom_site_fract_x
_atom_site_fract_y
_atom_site_fract_z
_atom_site_occupancy
La1 La 0.000 0.000 0.000 1
Al1 Al 0.250 0.250 0.250 1
Cl1 Cl 0.000 0.000 0.500 1
# E (eV for the cell shown): -265.3
# Formation energy from raw total energies (eV/atom): 0.06
# Energy above the most stable polymorph in this dataset (kJ per mole of atoms): 13.1
# Volume (Å³/atom): 24.2

(5)
# HfMgAl2Pb, single point on PBEsol structure, DFT SCAN
data_HfMgAl2Pb
_chemical_formula_sum 'Hf1 Mg1 Al2 Pb1'
_space_group_name_H-M_alt 'P 4/m m m'
_space_group_IT_number 123
_space_group_name_Hall '-P 4 2'
_cell_length_a 4.836
_cell_length_b 4.836
_cell_length_c 5.238
_cell_angle_alpha 90.00
_cell_angle_beta 90.00
_cell_angle_gamma 90.00
loop_
_atom_site_label
_atom_site_type_symbol
_atom_site_fract_x
_atom_site_fract_y
_atom_site_fract_z
_atom_site_occupancy
Hf1 Hf 0.000 0.000 0.000 1
Mg1 Mg 0.000 0.000 0.500 1
Al1 Al 0.000 0.500 0.500 1
Pb1 Pb 0.500 0.500 0.000 1
# Energy relative to the elements (eV per atom): 0.931
# E (eV for the cell shown): -154.3
# Volume (Å³/atom): 24.5

(6)
# BaLaCl, single point on PBEsol structure, DFT SCAN
data_BaLaCl
_chemical_formula_sum 'Ba4 La4 Cl4'
_space_group_name_H-M_alt 'F -4 3 m'
_space_group_IT_number 216
_space_group_name_Hall 'F -4 2 3'
_cell_length_a 7.265
_cell_length_b 7.265
_cell_length_c 7.265
_cell_angle_alpha 90.00
_cell_angle_beta 90.00
_cell_angle_gamma 90.00
loop_
_atom_site_label
_atom_site_type_symbol
_atom_site_fract_x
_atom_site_fract_y
_atom_site_fract_z
_atom_site_occupancy
Ba1 Ba 0.000 0.000 0.000 1
La1 La 0.250 0.250 0.250 1
Cl1 Cl 0.000 0.000 0.500 1
# E (eV for the cell shown): -363.5
# Formation energy from raw total energies (eV/atom): -0.08
# Energy above the most stable polymorph in this dataset (kJ per mole of atoms): 93.2
# Volume (Å³/atom): 32.0

(7)
# CsSmSiS4, single point on PBEsol structure, DFT SCAN
data_CsSmSiS4
_chemical_formula_sum 'Cs4 Sm4 Si4 S16'
_space_group_name_H-M_alt 'P 21 21 21'
_space_group_IT_number 19
_cell_length_a 6.363
_cell_length_b 6.634
_cell_length_c 17.605
_cell_angle_alpha 90.00
_cell_angle_beta 90.00
_cell_angle_gamma 90.00
loop_
_space_group_symop_operation_xyz
'x,y,z'
'-x+1/2,-y,z+1/2'
'x+1/2,-y+1/2,-z'
'-x,y+1/2,-z+1/2'
loop_
_atom_site_label
_atom_site_type_symbol
_atom_site_fract_x
_atom_site_fract_y
_atom_site_fract_z
_atom_site_occupancy
Cs1 Cs 0.014 0.008 0.467 1
Sm1 Sm 0.207 0.019 0.728 1
Si1 Si 0.210 0.516 0.334 1
S1 S 0.054 0.013 0.094 1
S2 S 0.068 0.250 0.856 1
S3 S 0.105 0.751 0.848 1
S4 S 0.116 0.567 0.220 1
# E (eV for the cell shown): -569.9
# Formation energy from raw total energies (eV/atom): -1.67
# Volume (Å³/atom): 26.5

(8)
# ScCd, single point on PBEsol structure, DFT SCAN
data_ScCd
_chemical_formula_sum 'Sc1 Cd1'
_space_group_name_H-M_alt 'P m -3 m'
_space_group_IT_number 221
_space_group_name_Hall '-P 4 2 3'
_cell_length_a 3.479
_cell_length_b 3.479
_cell_length_c 3.479
_cell_angle_alpha 90.00
_cell_angle_beta 90.00
_cell_angle_gamma 90.00
loop_
_atom_site_label
_atom_site_type_symbol
_atom_site_fract_x
_atom_site_fract_y
_atom_site_fract_z
_atom_site_occupancy
Sc1 Sc 0.000 0.000 0.000 1
Cd1 Cd 0.500 0.500 0.500 1
# Energy relative to the elements (eV per atom): -0.433
# E (eV for the cell shown): -45.5
# Volume (Å³/atom): 21.1